Record 1
4
Lattice="3.372 0.000 0.000 0.000 3.372 0.000 0.000 0.000 9.000" Properties=species:S:1:pos:R:3 comment="Ce2AgSn | Alexandria via LeMat-Bulk | PBE | optimized geometry" ef_ev_per_atom=-0.32 e_tot_ev_per_atom=-5.005 pbc="T T T"
Ce 0.000 0.000 2.184
Ce 0.000 0.000 6.816
Ag 1.686 1.686 0.000
Sn 1.686 1.686 4.500


Record 2
4
Lattice="4.558 0.000 0.000 0.000 4.558 0.000 0.000 0.000 4.772" Properties=species:S:1:pos:R:3 comment="Ce2AgSn | Alexandria via LeMat-Bulk | PBE | optimized geometry" ef_ev_per_atom=-0.35 e_tot_ev_per_atom=-5.028 pbc="T T T"
Ce 0.000 2.279 0.000
Ce 2.279 0.000 0.000
Ag 0.000 0.000 2.386
Sn 2.279 2.279 2.386


Record 3
9
Lattice="9.043 0.000 0.000 -4.521 7.831 0.000 0.000 0.000 3.103" Properties=species:S:1:pos:R:3 comment="Ce6AgSn2 | Alexandria via LeMat-Bulk | PBE | optimized geometry" ef_ev_per_atom=-0.23 e_tot_ev_per_atom=-5.390 pbc="T T T"
Ce -1.453 2.517 0.000
Ce -3.068 5.315 0.000
Ce 2.906 0.000 0.000
Ce 1.453 2.517 0.000
Ce 6.137 0.000 0.000
Ce 3.068 5.315 0.000
Ag 0.000 0.000 1.552
Sn 0.000 5.221 1.552
Sn 4.521 2.610 1.552